No. 1
This record from Alexandria describes a crystal of Zr2Hg relaxed with PBEsol. The functional is SCAN.

Results
Formation enthalpy at 0 K: -0.199 eV per atom
Mass density: 9.54 g/cm³
Space group: P-3m1, No. 164

Lattice parameters (Å, degrees): 3.2713 3.2713 7.1971 90.00 90.00 120.00
Closest atoms and distances in Å follow each position.
Positions (direct):
Hg 0.0000 0.0000 0.0000  6 Zr 3.06, 6 Hg 3.27
Zr 0.6667 0.3333 0.3346  9 Zr 3.04-3.27, 3 Hg 3.06
Zr 0.3333 0.6667 0.6654  9 Zr 3.04-3.27, 3 Hg 3.06

No. 2
This record from Alexandria describes a crystal of ZrHg3 relaxed with PBEsol. The functional is SCAN.

Results
Formation enthalpy at 0 K: -0.179 eV per atom
Mass density: 13.87 g/cm³
Space group: Imma, No. 74

Lattice parameters (Å, degrees): 6.1606 6.1724 6.1600 60.07 90.00 119.93
Closest atoms and distances in Å follow each position.
Positions (direct):
Hg 0.2536 0.5000 0.2500  4 Zr 3.05-3.11, 8 Hg 3.06-3.11
Hg 0.2519 0.0037 0.7481  8 Hg 3.06-3.11, 4 Zr 3.07-3.10
Hg 0.7481 0.9963 0.2519  8 Hg 3.06-3.11, 4 Zr 3.07-3.10
Hg 0.2519 0.0037 0.2481  8 Hg 3.06-3.11, 4 Zr 3.07-3.10
Hg 0.7481 0.9963 0.7519  8 Hg 3.06-3.11, 4 Zr 3.07-3.10
Hg 0.7464 0.5000 0.7500  4 Zr 3.05-3.11, 8 Hg 3.06-3.11
Zr 0.2414 0.5000 0.7500  12 Hg 3.05-3.11
Zr 0.7586 0.5000 0.2500  12 Hg 3.05-3.11

No. 3
This record from Alexandria describes a crystal of Zr3Hg relaxed with PBEsol. The functional is SCAN.

Results
Formation enthalpy at 0 K: -0.082 eV per atom
Mass density: 9.28 g/cm³
Space group: P2/m, No. 10

Lattice parameters (Å, degrees): 3.0272 5.1687 5.4489 90.00 95.42 90.00
Closest atoms and distances in Å follow each position.
Positions (direct):
Hg 0.0000 0.0000 0.0000  8 Zr 2.99-3.24, 2 Hg 3.03
Zr 0.2333 0.5000 0.7400  6 Zr 2.85-3.13, 2 Hg 3.06
Zr 0.5000 0.0000 0.5000  4 Hg 2.99-3.24, 6 Zr 3.03-3.04
Zr 0.7667 0.5000 0.2600  6 Zr 2.85-3.13, 2 Hg 3.06

No. 4
This record from Alexandria describes a crystal of Zr5Hg relaxed with PBEsol. The functional is SCAN.

Results
Formation enthalpy at 0 K: -0.073 eV per atom
Mass density: 8.38 g/cm³
Space group: Amm2, No. 38

Lattice parameters (Å, degrees): 3.1332 5.1385 8.2284 90.00 100.98 90.00
Closest atoms and distances in Å follow each position.
Positions (direct):
Hg 0.0027 0.0000 0.0054  10 Zr 3.02-3.21, 2 Hg 3.13
Zr 0.2198 0.5000 0.4396  12 Zr 3.08-3.25
Zr 0.3427 0.0000 0.6854  2 Hg 3.02, 10 Zr 3.08-3.25
Zr 0.5478 0.5000 0.0956  8 Zr 3.08-3.24, 4 Hg 3.10
Zr 0.6698 0.0000 0.3396  10 Zr 3.12-3.24, 2 Hg 3.12
Zr 0.8839 0.5000 0.7679  10 Zr 3.08-3.13, 2 Hg 3.21

No. 5
This record from Alexandria describes a crystal of Zr8Hg relaxed with PBEsol. The functional is SCAN.

Results
Formation enthalpy at 0 K: -0.072 eV per atom
Mass density: 7.90 g/cm³
Space group: I4/mmm, No. 139

Lattice parameters (Å, degrees): 4.2163 7.1272 7.1272 84.98 72.80 72.80
Closest atoms and distances in Å follow each position.
Positions (direct):
Hg 0.0000 0.0000 0.0000  12 Zr 3.10-3.21
Zr 0.6669 0.6662 0.0000  10 Zr 3.09-3.21, 2 Hg 3.10
Zr 0.3331 0.3338 0.0000  10 Zr 3.09-3.21, 2 Hg 3.10
Zr 0.0000 0.6667 0.3332  11 Zr 3.10-3.21, 1 Hg 3.21
Zr 0.3331 0.0000 0.3338  10 Zr 3.09-3.21, 2 Hg 3.10
Zr 0.6667 0.3332 0.3332  11 Zr 3.10-3.21, 1 Hg 3.21
Zr 0.6669 0.0000 0.6662  10 Zr 3.09-3.21, 2 Hg 3.10
Zr 0.0000 0.3332 0.6667  11 Zr 3.10-3.21, 1 Hg 3.21
Zr 0.3332 0.6667 0.6667  11 Zr 3.10-3.21, 1 Hg 3.21

No. 6
This record from Alexandria describes a crystal of Zr2Hg relaxed with PBEsol. The functional is SCAN.

Results
Formation enthalpy at 0 K: -0.261 eV per atom
Mass density: 10.02 g/cm³
Space group: Pnma, No. 62

Lattice parameters (Å, degrees): 4.7666 5.8238 9.1432 90.00 90.00 90.00
Closest atoms and distances in Å follow each position.
Positions (direct):
Hg 0.7500 0.3327 0.3709  10 Zr 2.87-3.16
Hg 0.2500 0.1673 0.8709  10 Zr 2.87-3.16
Hg 0.7500 0.8327 0.1291  10 Zr 2.87-3.16
Hg 0.2500 0.6673 0.6291  10 Zr 2.87-3.16
Zr 0.7500 0.9049 0.7982  5 Hg 2.91-3.16, 5 Zr 3.04-3.18
Zr 0.2500 0.5951 0.2982  5 Hg 2.91-3.16, 5 Zr 3.04-3.18
Zr 0.7500 0.4049 0.7018  5 Hg 2.91-3.16, 5 Zr 3.04-3.18
Zr 0.2500 0.0951 0.2018  5 Hg 2.91-3.16, 5 Zr 3.04-3.18
Zr 0.7500 0.8558 0.4520  5 Hg 2.87-3.14, 5 Zr 3.04-3.18
Zr 0.2500 0.6442 0.9520  5 Hg 2.87-3.14, 5 Zr 3.04-3.18
Zr 0.7500 0.3558 0.0480  5 Hg 2.87-3.14, 5 Zr 3.04-3.18
Zr 0.2500 0.1442 0.5480  5 Hg 2.87-3.14, 5 Zr 3.04-3.18

No. 7
This record from Alexandria describes a crystal of Zr5Hg3 relaxed with PBEsol. The functional is SCAN.

Results
Formation enthalpy at 0 K: -0.301 eV per atom
Mass density: 10.34 g/cm³
Space group: P6_3/mcm, No. 193

Lattice parameters (Å, degrees): 5.3774 8.5417 8.5417 120.00 90.00 90.00
Closest atoms and distances in Å follow each position.
Positions (direct):
Hg 0.2500 0.0000 0.3979  9 Zr 2.94-3.14, 2 Hg 3.21
Hg 0.7500 0.0000 0.6021  9 Zr 2.94-3.14, 2 Hg 3.21
Hg 0.2500 0.6021 0.6021  9 Zr 2.94-3.14, 2 Hg 3.21
Hg 0.7500 0.6021 0.0000  9 Zr 2.94-3.14, 2 Hg 3.21
Hg 0.7500 0.3979 0.3979  9 Zr 2.94-3.14, 2 Hg 3.21
Hg 0.2500 0.3979 0.0000  9 Zr 2.94-3.14, 2 Hg 3.21
Zr 0.7500 0.0000 0.2341  5 Hg 2.96-3.14
Zr 0.2500 0.0000 0.7659  5 Hg 2.96-3.14
Zr 0.7500 0.7659 0.7659  5 Hg 2.96-3.14
Zr 0.2500 0.7659 0.0000  5 Hg 2.96-3.14
Zr 0.0000 0.6667 0.3333  2 Zr 2.69, 6 Hg 2.94
Zr 0.5000 0.6667 0.3333  2 Zr 2.69, 6 Hg 2.94
Zr 0.0000 0.3333 0.6667  2 Zr 2.69, 6 Hg 2.94
Zr 0.5000 0.3333 0.6667  2 Zr 2.69, 6 Hg 2.94
Zr 0.2500 0.2341 0.2341  5 Hg 2.96-3.14
Zr 0.7500 0.2341 0.0000  5 Hg 2.96-3.14

No. 8
This record from Alexandria describes a crystal of Zr2Hg3 relaxed with PBEsol. The functional is SCAN.

Results
Formation enthalpy at 0 K: -0.134 eV per atom
Mass density: 12.22 g/cm³
Space group: R-3m, No. 166

Lattice parameters (Å, degrees): 3.1680 3.1680 12.3974 82.66 82.66 60.00
Closest atoms and distances in Å follow each position.
Positions (direct):
Hg 0.0000 0.0000 0.0000  6 Zr 3.07, 6 Hg 3.17
Hg 0.7998 0.7998 0.6006  3 Zr 3.04, 9 Hg 3.07-3.17
Hg 0.2002 0.2002 0.3994  3 Zr 3.04, 9 Hg 3.07-3.17
Zr 0.5996 0.5996 0.2013  6 Hg 3.04-3.07, 6 Zr 3.17
Zr 0.4004 0.4004 0.7987  6 Hg 3.04-3.07, 6 Zr 3.17

No. 9
This record from Alexandria describes a crystal of ZrHg relaxed with PBEsol. The functional is SCAN.

Results
Formation enthalpy at 0 K: -0.170 eV per atom
Mass density: 11.39 g/cm³
Space group: Cm, No. 8

Lattice parameters (Å, degrees): 3.2211 5.9356 7.2795 107.07 90.00 105.74
Closest atoms and distances in Å follow each position.
Positions (direct):
Hg 0.0004 0.0008 0.9967  6 Zr 2.96-3.20, 6 Hg 3.11-3.22
Hg 0.3872 0.7744 0.2711  5 Zr 3.06-3.16, 7 Hg 3.11-3.22
Hg 0.6700 0.3399 0.3407  5 Zr 3.07, 7 Hg 3.11-3.22
Zr 0.0573 0.1146 0.6040  7 Zr 3.03-3.22, 5 Hg 3.06-3.12
Zr 0.3396 0.6792 0.6765  5 Hg 2.96-3.16, 7 Zr 3.11-3.22
Zr 0.7122 0.4244 0.9443  6 Hg 3.03-3.20, 6 Zr 3.03-3.22

No. 10
This record from Alexandria describes a crystal of ZrHg8 relaxed with PBEsol. The functional is SCAN.

Results
Formation enthalpy at 0 K: -0.003 eV per atom
Mass density: 14.50 g/cm³
Space group: I4/mmm, No. 139

Lattice parameters (Å, degrees): 4.3688 7.0163 7.0163 84.44 71.86 71.86
Closest atoms and distances in Å follow each position.
Positions (direct):
Hg 0.6652 0.6697 0.0000  2 Zr 3.10, 10 Hg 3.11-3.16
Hg 0.3348 0.3303 0.0000  2 Zr 3.10, 10 Hg 3.11-3.16
Hg 0.0000 0.6681 0.3319  11 Hg 3.11-3.17, 1 Zr 3.13
Hg 0.3348 0.0000 0.3303  2 Zr 3.10, 10 Hg 3.11-3.16
Hg 0.6681 0.3319 0.3319  11 Hg 3.11-3.17, 1 Zr 3.13
Hg 0.6652 0.0000 0.6697  2 Zr 3.10, 10 Hg 3.11-3.16
Hg 0.0000 0.3319 0.6681  11 Hg 3.11-3.17, 1 Zr 3.13
Hg 0.3319 0.6681 0.6681  11 Hg 3.11-3.17, 1 Zr 3.13
Zr 0.0000 0.0000 0.0000  12 Hg 3.10-3.13

No. 11
This record from Alexandria describes a crystal of ZrHg relaxed with PBEsol. The functional is SCAN.

Results
Formation enthalpy at 0 K: -0.265 eV per atom
Mass density: 11.56 g/cm³
Space group: Imma, No. 74

Lattice parameters (Å, degrees): 3.2301 5.1264 5.9002 115.75 105.89 90.00
Closest atoms and distances in Å follow each position.
Positions (direct):
Hg 0.1308 0.3808 0.2617  4 Hg 2.90-3.23, 6 Zr 3.03-3.04
Hg 0.8692 0.6192 0.7383  4 Hg 2.90-3.23, 6 Zr 3.03-3.04
Zr 0.6230 0.8730 0.2460  6 Hg 3.03-3.04, 4 Zr 3.04-3.23
Zr 0.3770 0.1270 0.7540  6 Hg 3.03-3.04, 4 Zr 3.04-3.23

No. 12
This record from Alexandria describes a crystal of ZrHg3 relaxed with PBEsol. The functional is SCAN.

Results
Formation enthalpy at 0 K: -0.132 eV per atom
Mass density: 13.74 g/cm³
Space group: Pmmn, No. 59

Lattice parameters (Å, degrees): 4.6014 5.9613 6.1051 90.00 90.00 90.00
Closest atoms and distances in Å follow each position.
Positions (direct):
Hg 0.5000 0.3124 0.0000  6 Hg 2.94-3.17, 4 Zr 2.94-3.08
Hg 0.0000 0.6876 0.5000  6 Hg 2.94-3.17, 4 Zr 2.94-3.08
Hg 0.0000 0.1590 0.7399  7 Hg 2.93-3.18, 3 Zr 3.03-3.17
Hg 0.0000 0.1590 0.2601  7 Hg 2.93-3.18, 3 Zr 3.03-3.17
Hg 0.5000 0.8410 0.2399  7 Hg 2.93-3.18, 3 Zr 3.03-3.17
Hg 0.5000 0.8410 0.7601  7 Hg 2.93-3.18, 3 Zr 3.03-3.17
Zr 0.0000 0.6200 0.0000  10 Hg 2.94-3.17
Zr 0.5000 0.3800 0.5000  10 Hg 2.94-3.17

No. 13
This record from Alexandria describes a crystal of Zr5Hg relaxed with PBEsol. The functional is SCAN.

Results
Formation enthalpy at 0 K: -0.144 eV per atom
Mass density: 8.47 g/cm³
Space group: Cmmm, No. 65

Lattice parameters (Å, degrees): 4.3333 4.3921 7.1125 72.02 90.00 90.00
Closest atoms and distances in Å follow each position.
Positions (direct):
Hg 0.0000 0.5000 0.0000  12 Zr 3.08-3.14
Zr 0.5000 0.3350 0.3300  10 Zr 3.08-3.18, 2 Hg 3.11
Zr 0.0000 0.1661 0.6678  10 Zr 3.08-3.16, 2 Hg 3.14
Zr 0.5000 0.0000 0.0000  4 Hg 3.08, 8 Zr 3.12-3.13
Zr 0.0000 0.8339 0.3322  10 Zr 3.08-3.16, 2 Hg 3.14
Zr 0.5000 0.6650 0.6700  10 Zr 3.08-3.18, 2 Hg 3.11

No. 14
This record from Alexandria describes a crystal of Zr5Hg3 relaxed with PBEsol. The functional is SCAN.

Results
Formation enthalpy at 0 K: -0.276 eV per atom
Mass density: 10.52 g/cm³
Space group: Cmmm, No. 65

Lattice parameters (Å, degrees): 4.4647 6.1201 6.1201 92.90 90.00 90.00
Closest atoms and distances in Å follow each position.
Positions (direct):
Hg 0.0000 0.5000 0.5000  8 Zr 3.04-3.06, 4 Hg 3.19
Hg 0.5000 0.7572 0.2428  10 Zr 3.04-3.10, 2 Hg 3.19
Hg 0.5000 0.2428 0.7572  10 Zr 3.04-3.10, 2 Hg 3.19
Zr 0.0000 0.0000 0.0000  8 Zr 3.06-3.10, 4 Hg 3.10
Zr 0.0000 0.5000 0.0000  6 Zr 3.06-3.15, 6 Hg 3.06-3.07
Zr 0.0000 0.0000 0.5000  6 Hg 3.06-3.07, 6 Zr 3.06-3.15
Zr 0.5000 0.7449 0.7449  6 Hg 3.04-3.08, 6 Zr 3.10-3.15
Zr 0.5000 0.2551 0.2551  6 Hg 3.04-3.08, 6 Zr 3.10-3.15

No. 15
This record from Alexandria describes a crystal of Zr5Hg relaxed with PBEsol. The functional is SCAN.

Results
Formation enthalpy at 0 K: -0.084 eV per atom
Mass density: 8.38 g/cm³
Space group: P-62m, No. 189

Lattice parameters (Å, degrees): 5.1519 5.3991 5.3991 120.00 90.00 90.00
Closest atoms and distances in Å follow each position.
Positions (direct):
Hg 0.5000 0.0000 0.0000  12 Zr 3.11-3.12
Zr 0.0000 0.6770 0.0000  10 Zr 3.02-3.17, 2 Hg 3.11
Zr 0.0000 0.0000 0.6770  10 Zr 3.02-3.17, 2 Hg 3.11
Zr 0.0000 0.3230 0.3230  10 Zr 3.02-3.17, 2 Hg 3.11
Zr 0.5000 0.3333 0.6667  9 Zr 3.12-3.16, 3 Hg 3.12
Zr 0.5000 0.6667 0.3333  9 Zr 3.12-3.16, 3 Hg 3.12

No. 16
This record from Alexandria describes a crystal of ZrHg3 relaxed with PBEsol. The functional is SCAN.

Results
Formation enthalpy at 0 K: -0.123 eV per atom
Mass density: 13.78 g/cm³
Space group: P4/mmm, No. 123

Lattice parameters (Å, degrees): 3.2236 3.2236 8.0356 90.00 90.00 90.00
Closest atoms and distances in Å follow each position.
Positions (direct):
Hg 0.0000 0.0000 0.7460  4 Zr 3.02, 8 Hg 3.06-3.22
Hg 0.0000 0.0000 0.2540  4 Zr 3.02, 8 Hg 3.06-3.22
Hg 0.5000 0.5000 0.0000  12 Hg 3.06-3.22
Zr 0.5000 0.5000 0.5000  8 Hg 3.02, 4 Zr 3.22

No. 17
This record from Alexandria describes a crystal of Zr5Hg relaxed with PBEsol. The functional is SCAN.

Results
Formation enthalpy at 0 K: -0.110 eV per atom
Mass density: 8.38 g/cm³
Space group: P4/mmm, No. 123

Lattice parameters (Å, degrees): 3.1419 3.1419 13.1798 90.00 90.00 90.00
Closest atoms and distances in Å follow each position.
Positions (direct):
Hg 0.5000 0.5000 0.5000  8 Zr 3.08, 4 Hg 3.14
Zr 0.0000 0.0000 0.6617  4 Hg 3.08, 8 Zr 3.14-3.16
Zr 0.5000 0.5000 0.8321  12 Zr 3.14-3.16
Zr 0.0000 0.0000 0.0000  12 Zr 3.14
Zr 0.5000 0.5000 0.1679  12 Zr 3.14-3.16
Zr 0.0000 0.0000 0.3383  4 Hg 3.08, 8 Zr 3.14-3.16

No. 18
This record from Alexandria describes a crystal of Zr4Hg5 relaxed with PBEsol. The functional is SCAN.

Results
Formation enthalpy at 0 K: -0.293 eV per atom
Mass density: 12.10 g/cm³
Space group: P6_3/mcm, No. 193

Lattice parameters (Å, degrees): 5.8896 8.5785 8.5785 120.00 90.00 90.00
Closest atoms and distances in Å follow each position.
Positions (direct):
Hg 0.7500 0.0000 0.6834  7 Zr 2.86-3.09
Hg 0.7500 0.6834 0.0000  7 Zr 2.86-3.09
Hg 0.7500 0.3166 0.3166  7 Zr 2.86-3.09
Hg 0.2500 0.0000 0.3166  7 Zr 2.86-3.09
Hg 0.2500 0.3166 0.0000  7 Zr 2.86-3.09
Hg 0.2500 0.6834 0.6834  7 Zr 2.86-3.09
Hg 0.0000 0.3333 0.6667  8 Hg 2.94-3.28, 6 Zr 3.16
Hg 0.5000 0.6667 0.3333  8 Hg 2.94-3.28, 6 Zr 3.16
Hg 0.0000 0.6667 0.3333  8 Hg 2.94-3.28, 6 Zr 3.16
Hg 0.5000 0.3333 0.6667  8 Hg 2.94-3.28, 6 Zr 3.16
Zr 0.0000 0.0000 0.0000  2 Zr 2.94, 6 Hg 3.09
Zr 0.5000 0.0000 0.0000  2 Zr 2.94, 6 Hg 3.09
Zr 0.7500 0.0000 0.3501  9 Hg 2.86-3.16
Zr 0.7500 0.3501 0.0000  9 Hg 2.86-3.16
Zr 0.7500 0.6499 0.6499  9 Hg 2.86-3.16
Zr 0.2500 0.0000 0.6499  9 Hg 2.86-3.16
Zr 0.2500 0.6499 0.0000  9 Hg 2.86-3.16
Zr 0.2500 0.3501 0.3501  9 Hg 2.86-3.16

No. 19
This record from Alexandria describes a crystal of Zr3Hg relaxed with PBEsol. The functional is SCAN.

Results
Formation enthalpy at 0 K: -0.199 eV per atom
Mass density: 9.33 g/cm³
Space group: Pmmm, No. 47

Lattice parameters (Å, degrees): 3.1915 4.0078 6.6003 90.00 90.00 90.00
Closest atoms and distances in Å follow each position.
Positions (direct):
Hg 0.0000 0.0000 0.0000  10 Zr 3.03-3.30, 2 Hg 3.19
Zr 0.0000 0.0000 0.5000  10 Zr 3.06-3.19, 2 Hg 3.30
Zr 0.5000 0.5000 0.2463  4 Hg 3.03, 8 Zr 3.06-3.35
Zr 0.5000 0.5000 0.7537  4 Hg 3.03, 8 Zr 3.06-3.35

No. 20
This record from Alexandria describes a crystal of Zr3Hg5 relaxed with PBEsol. The functional is SCAN.

Results
Formation enthalpy at 0 K: -0.257 eV per atom
Mass density: 12.79 g/cm³
Space group: Cmmm, No. 65

Lattice parameters (Å, degrees): 4.3439 6.1788 6.1788 92.16 90.00 90.00
Closest atoms and distances in Å follow each position.
Positions (direct):
Hg 0.0000 0.0000 0.0000  4 Zr 3.04, 8 Hg 3.09-3.12
Hg 0.0000 0.5000 0.0000  6 Zr 3.05-3.09, 6 Hg 3.09-3.11
Hg 0.0000 0.0000 0.5000  6 Zr 3.05-3.09, 6 Hg 3.09-3.11
Hg 0.5000 0.7389 0.7389  6 Zr 2.98-3.09, 6 Hg 3.11-3.12
Hg 0.5000 0.2611 0.2611  6 Zr 2.98-3.09, 6 Hg 3.11-3.12
Zr 0.0000 0.5000 0.5000  8 Hg 2.98-3.09, 4 Zr 3.18
Zr 0.5000 0.7605 0.2395  10 Hg 3.04-3.09, 2 Zr 3.18
Zr 0.5000 0.2395 0.7605  10 Hg 3.04-3.09, 2 Zr 3.18